# LiMn2C4O12

LiMn2C4O12 after structural relaxation (PBE+U, Alexandria).

Unit cell a=5.414 b=6.838 c=7.682 alpha=83.70 beta=83.46 gamma=67.08
Space group P1 (No. 1)
Asymmetric unit:
Li 0.000 0.000 0.000 x1
Mn 0.334 0.092 0.393 x1
Mn 0.627 0.543 0.855 x1
C 0.022 0.217 0.641 x1
C 0.486 0.906 0.059 x1
C 0.510 0.396 0.133 x1
C 0.674 0.731 0.583 x1
O 0.281 0.159 0.642 x1
O 0.282 0.999 0.174 x1
O 0.376 0.427 0.993 x1
O 0.404 0.816 0.944 x1
O 0.442 0.335 0.284 x1
O 0.480 0.661 0.626 x1
O 0.683 0.853 0.447 x1
O 0.713 0.909 0.055 x1
O 0.728 0.440 0.098 x1
O 0.856 0.666 0.698 x1
O 0.869 0.256 0.787 x1
O 0.939 0.219 0.490 x1

Summary:
Size of the total moment (μB/atom): 0.366
Polymorph energy (0 for the lowest one) (meV per atom): 2
DFT total energy (eV per atom): -7.335